# 1
Density functional theory data (GGA-PBE) for PmYZnIn after structural relaxation.

Values from the calculation:
- offset from the most stable computed form (meV/atom) = 18

Unit cell a=5.276 b=5.276 c=5.276 alpha=60.00 beta=60.00 gamma=60.00
Fractional positions:
Pm: 0.250 0.250 0.250
Y: 0.750 0.750 0.750
Zn: 0.000 0.000 0.000
In: 0.500 0.500 0.500

# 2
Density functional theory data (GGA-PBE) for PmYZnIn after structural relaxation.

Values from the calculation:
- offset from the most stable computed form (meV/atom) = 0

Unit cell a=3.688 b=3.688 c=7.554 alpha=90.00 beta=90.00 gamma=90.00
Fractional positions:
Pm: 0.500 0.500 0.125
Zn: 0.000 0.000 0.369
Y: 0.500 0.500 0.587
In: 0.000 0.000 0.847

# 3
Density functional theory data (GGA-PBE) for PmYZrIn after structural relaxation.

Unit cell a=5.402 b=5.402 c=5.402 alpha=60.00 beta=60.00 gamma=60.00
Last column: magnetic moment on the atom in μB.
Fractional positions:
In: 0.000 0.000 0.000  -0.02
Zr: 0.500 0.500 0.500  1.12
Pm: 0.750 0.750 0.750  0.23
Y: 0.250 0.250 0.250  0.28

# 4
Density functional theory data (GGA-PBE) for Pm5Zn2In2 after structural relaxation.

Unit cell a=7.276 b=8.510 c=9.390 alpha=116.95 beta=90.00 gamma=90.00
Fractional positions:
Pm: 0.175 0.440 0.268
Pm: 0.175 0.172 0.732
Pm: 0.325 0.672 0.732
Pm: 0.500 0.500 0.000
Pm: 0.825 0.828 0.268
Pm: 0.675 0.060 0.732
Pm: 0.325 0.940 0.268
Pm: 0.675 0.328 0.268
Pm: 0.825 0.560 0.732
Pm: 0.000 0.000 0.000
In: 0.000 0.220 0.440
In: 0.000 0.780 0.560
In: 0.500 0.280 0.560
In: 0.500 0.720 0.440
Zn: 0.393 0.121 0.000
Zn: 0.107 0.621 0.000
Zn: 0.607 0.879 0.000
Zn: 0.893 0.379 0.000

# 5
Density functional theory data (GGA-PBE) for Pm3Zn2In2 after structural relaxation.

Unit cell a=4.481 b=3.662 c=11.075 alpha=90.00 beta=78.33 gamma=90.00
Fractional positions:
Pm: 0.000 0.000 0.000
Pm: 0.836 0.000 0.328
Pm: 0.164 0.000 0.672
Zn: 0.281 0.500 0.438
Zn: 0.719 0.500 0.562
In: 0.582 0.500 0.837
In: 0.418 0.500 0.163

# 6
Density functional theory data (GGA-PBE) for Pm3ZnIn2 after structural relaxation.

Values from the calculation:
- offset from the most stable computed form (meV/atom) = 14

Unit cell a=5.378 b=5.378 c=13.158 alpha=90.00 beta=90.00 gamma=120.00
Fractional positions:
Pm: 0.000 0.000 0.744
Pm: 0.667 0.333 0.090
Pm: 0.000 0.000 0.256
Pm: 0.333 0.667 0.417
Pm: 0.667 0.333 0.583
Pm: 0.333 0.667 0.910
In: 0.000 0.000 0.500
In: 0.667 0.333 0.831
In: 0.333 0.667 0.169
In: 0.000 0.000 0.000
Zn: 0.333 0.667 0.665
Zn: 0.667 0.333 0.335

# 7
Density functional theory data (GGA-PBE) for PmZn3In3 after structural relaxation.

Unit cell a=7.340 b=7.340 c=7.340 alpha=90.00 beta=90.00 gamma=90.00
Fractional positions:
In: 0.000 0.500 0.750
In: 0.750 0.000 0.500
In: 0.500 0.250 0.000
In: 0.500 0.750 0.000
In: 0.250 0.000 0.500
In: 0.000 0.500 0.250
Zn: 0.500 0.000 0.750
Zn: 0.000 0.750 0.500
Zn: 0.250 0.500 0.000
Zn: 0.750 0.500 0.000
Zn: 0.000 0.250 0.500
Zn: 0.500 0.000 0.250
Pm: 0.000 0.000 0.000
Pm: 0.500 0.500 0.500

# 8
Density functional theory data (GGA-PBE) for Pm2Zn6In after structural relaxation.

Unit cell a=5.907 b=5.913 c=5.913 alpha=120.00 beta=90.00 gamma=90.00
Fractional positions:
Zn: 0.349 0.366 0.183
Zn: 0.349 0.817 0.183
Zn: 0.349 0.817 0.634
Zn: 0.651 0.183 0.366
Zn: 0.651 0.183 0.817
Zn: 0.651 0.634 0.817
Pm: 0.155 0.333 0.667
Pm: 0.845 0.667 0.333
In: 0.000 0.000 0.000

These records have mass density values of 6620 6694 6554 6955 7422 7358 5759 7402 kg/m³, in the order they appear.
These records have E_tot values of -16.869 -16.943 -22.774 -68.400 -25.287 -47.133 -29.354 -22.685 eV/cell, in the order they appear.
These records have formation energy values of -9.464 -9.891 -1.571 -6.206 -9.917 -9.853 6.953 -7.179 kcal/mol of atoms, in the order they appear.